A relaxed structure of TaFeIr2, computed with PBE.

a = 9.103 Å, b = 9.103 Å, c = 9.103 Å
α = 155.52°, β = 155.52°, γ = 34.90°
Sites, in units of the cell vectors:
Ta (0.000, 0.000, 0.000)
Ta (0.750, 0.250, 0.500)
Fe (0.250, 0.750, 0.500)
Fe (0.500, 0.500, 0.000)
Ir (0.153, 0.625, 0.028)
Ir (0.375, 0.403, 0.528)
Ir (0.597, 0.125, 0.972)
Ir (0.875, 0.847, 0.472)

Calculated values
**SG**: No. 122
**Formation energy**: 0.23 eV/atom
**Magnetic moment**: 4.15 μB/cell